A plane-wave DFT calculation with PBE-GGA was carried out for a relaxed structure of CuPbW.

Unit cell a=4.3878 b=4.3878 c=4.3878 alpha=60.00 beta=60.00 gamma=60.00
Closest atoms and distances in Å follow each position.
Fractional positions:
Pb1 0.0000 0.0000 0.0000  4 Cu 2.69
W1 0.5000 0.5000 0.5000  4 Cu 2.69
Cu1 0.7500 0.7500 0.7500  4 Pb 2.69, 4 W 2.69

Properties
Magnetic moment ... 2.5 μB per cell
Total DFT energy (no corrections) ... -5.714 eV per atom
Calculated volume ... 19.91 Å³/atom
Offset from the most stable computed form ... 401.1 meV/atom
SG ... F-43m (216)
E_form ... 1.2051 eV per atom